A plane-wave DFT calculation with PBE-GGA was carried out for LiPm2H6Rh2 after structural relaxation.

Summary:
Energy   -4.6615 eV per atom
Total magnetic moment   0.0 μB per formula unit

Lattice parameters (Å, degrees): 6.6769 6.6769 6.6769 42.53 42.53 42.53
With the nearest neighbours (Å) after each atom.
Sites, in units of the cell vectors:
Li (0.0000, 0.0000, 0.0000)  6 H 2.24
Pm (0.2263, 0.2263, 0.2263)  9 H 2.43-2.69
Pm (0.7737, 0.7737, 0.7737)  9 H 2.43-2.69
H (0.2246, 0.7402, 0.7402)  1 Rh 1.73
H (0.2598, 0.2598, 0.7754)  1 Rh 1.73
H (0.2598, 0.7754, 0.2598)  1 Rh 1.73
H (0.7402, 0.2246, 0.7402)  1 Rh 1.73
H (0.7402, 0.7402, 0.2246)  1 Rh 1.73
H (0.7754, 0.2598, 0.2598)  1 Rh 1.73
Rh (0.3792, 0.3792, 0.3792)  3 H 1.73
Rh (0.6208, 0.6208, 0.6208)  3 H 1.73

A plane-wave DFT calculation with PBE-GGA was carried out for LiPm2H12Rh3 after structural relaxation.

Summary:
Energy   -4.4274 eV per atom
Total magnetic moment   1.2 μB per formula unit

Lattice parameters (Å, degrees): 5.9028 5.9028 5.9028 64.29 64.29 64.29
With the nearest neighbours (Å) after each atom.
Sites, in units of the cell vectors:
Li (0.0000, 0.0000, 0.0000)  6 H 1.90
Pm (0.3793, 0.3793, 0.3793)  3 H 2.26
Pm (0.6207, 0.6207, 0.6207)  3 H 2.26
H (0.1168, 0.1168, 0.6243)  1 Rh 1.67
H (0.1168, 0.6243, 0.1168)  1 Rh 1.67
H (0.1419, 0.6841, 0.6841)  2 Rh 1.74
H (0.3160, 0.3160, 0.8581)  2 Rh 1.74
H (0.3160, 0.8581, 0.3160)  2 Rh 1.74
H (0.3757, 0.8832, 0.8832)  1 Rh 1.67
H (0.6243, 0.1168, 0.1168)  1 Rh 1.67
H (0.6841, 0.1419, 0.6841)  2 Rh 1.74
H (0.6841, 0.6841, 0.1419)  2 Rh 1.74
H (0.8581, 0.3160, 0.3160)  2 Rh 1.74
H (0.8832, 0.3757, 0.8832)  1 Rh 1.67
H (0.8832, 0.8832, 0.3757)  1 Rh 1.67
Rh (0.0000, 0.0000, 0.5000)  6 H 1.67-1.74
Rh (0.0000, 0.5000, 0.0000)  6 H 1.67-1.74
Rh (0.5000, 0.0000, 0.0000)  6 H 1.67-1.74

A plane-wave DFT calculation with PBE-GGA was carried out for LiPmH6Rh after structural relaxation.

Summary:
Energy   -4.2058 eV per atom
Total magnetic moment   0.0 μB per formula unit

Lattice parameters (Å, degrees): 4.5363 4.5363 4.3924 90.00 90.00 120.00
With the nearest neighbours (Å) after each atom.
Sites, in units of the cell vectors:
Li (0.0000, 0.0000, 0.0000)  6 H 1.82
Pm (0.6667, 0.3333, 0.5000)  12 H 2.48-2.49
H (0.1763, 0.3549, 0.2674)  1 Rh 1.70, 1 Li 1.82
H (0.1763, 0.8214, 0.7326)  1 Rh 1.70, 1 Li 1.82
H (0.1786, 0.3549, 0.7326)  1 Rh 1.70, 1 Li 1.82
H (0.1786, 0.8237, 0.2674)  1 Rh 1.70, 1 Li 1.82
H (0.6451, 0.8214, 0.2674)  1 Rh 1.70, 1 Li 1.82
H (0.6451, 0.8237, 0.7326)  1 Rh 1.70, 1 Li 1.82
Rh (0.3333, 0.6667, 0.0000)  6 H 1.70

A plane-wave DFT calculation with PBE-GGA was carried out for LiPm2H6Ru after structural relaxation.

Summary:
Energy   -4.4761 eV per atom
Total magnetic moment   0.0 μB per formula unit

Lattice parameters (Å, degrees): 5.0098 5.0098 4.9581 90.00 90.00 120.00
With the nearest neighbours (Å) after each atom.
Sites, in units of the cell vectors:
Li (0.0000, 0.0000, 0.0000)  6 H 1.97
Pm (0.3333, 0.6667, 0.7393)  9 H 2.51-2.73
Pm (0.6667, 0.3333, 0.2607)  9 H 2.51-2.73
H (0.1634, 0.3268, 0.2764)  1 Ru 1.80, 1 Li 1.97
H (0.1634, 0.8366, 0.2764)  1 Ru 1.80, 1 Li 1.97
H (0.3268, 0.1634, 0.7236)  1 Ru 1.80, 1 Li 1.97
H (0.6732, 0.8366, 0.2764)  1 Ru 1.80, 1 Li 1.97
H (0.8366, 0.1634, 0.7236)  1 Ru 1.80, 1 Li 1.97
H (0.8366, 0.6732, 0.7236)  1 Ru 1.80, 1 Li 1.97
Ru (0.0000, 0.0000, 0.5000)  6 H 1.80

A plane-wave DFT calculation with PBE-GGA was carried out for Li2PmH6Ru after structural relaxation.

Summary:
Energy   -4.1386 eV per atom
Total magnetic moment   0.0 μB per formula unit

Lattice parameters (Å, degrees): 4.8310 5.5737 6.6092 90.00 90.00 90.00
With the nearest neighbours (Å) after each atom.
Sites, in units of the cell vectors:
Li (0.0000, 0.0000, 0.2133)  6 H 1.85-2.02
Li (0.0000, 0.0000, 0.7867)  6 H 1.85-2.02
Li (0.5000, 0.5000, 0.2867)  6 H 1.85-2.02
Li (0.5000, 0.5000, 0.7133)  6 H 1.85-2.02
Pm (0.0000, 0.5000, 0.0000)  2 H 2.19
Pm (0.5000, 0.0000, 0.5000)  2 H 2.19
H (0.1525, 0.3114, 0.3249)  1 Ru 1.73
H (0.1525, 0.3114, 0.6751)  1 Ru 1.73
H (0.1862, 0.1413, 0.0000)  1 Ru 1.71, 2 Li 1.85
H (0.3138, 0.6413, 0.5000)  1 Ru 1.71, 2 Li 1.85
H (0.3475, 0.8114, 0.1751)  1 Ru 1.73
H (0.3475, 0.8114, 0.8249)  1 Ru 1.73
H (0.6525, 0.1886, 0.1751)  1 Ru 1.73
H (0.6525, 0.1886, 0.8249)  1 Ru 1.73
H (0.6862, 0.3587, 0.5000)  1 Ru 1.71, 2 Li 1.85
H (0.8138, 0.8587, 0.0000)  1 Ru 1.71, 2 Li 1.85
H (0.8475, 0.6886, 0.3249)  1 Ru 1.73
H (0.8475, 0.6886, 0.6751)  1 Ru 1.73
Ru (0.0000, 0.5000, 0.5000)  6 H 1.71-1.73
Ru (0.5000, 0.0000, 0.0000)  6 H 1.71-1.73

A plane-wave DFT calculation with PBE-GGA was carried out for LiPm2TcH6 after structural relaxation.

Summary:
Energy   -4.5754 eV per atom
Total magnetic moment   0.0 μB per formula unit

Lattice parameters (Å, degrees): 4.9608 4.9608 5.1673 90.00 90.00 120.00
With the nearest neighbours (Å) after each atom.
Sites, in units of the cell vectors:
Li (0.0000, 0.0000, 0.0000)  6 H 2.02
Pm (0.3333, 0.6667, 0.2663)  9 H 2.48-2.76
Pm (0.6667, 0.3333, 0.7337)  9 H 2.48-2.76
Tc (0.0000, 0.0000, 0.5000)  6 H 1.82
H (0.1648, 0.3297, 0.7220)  1 Tc 1.82, 1 Li 2.02
H (0.1648, 0.8352, 0.7220)  1 Tc 1.82, 1 Li 2.02
H (0.3297, 0.1648, 0.2780)  1 Tc 1.82, 1 Li 2.02
H (0.6703, 0.8352, 0.7220)  1 Tc 1.82, 1 Li 2.02
H (0.8352, 0.1648, 0.2780)  1 Tc 1.82, 1 Li 2.02
H (0.8352, 0.6703, 0.2780)  1 Tc 1.82, 1 Li 2.02

A plane-wave DFT calculation with PBE-GGA was carried out for LiPm2TlH after structural relaxation.

Summary:
Energy   -3.7784 eV per atom
Total magnetic moment   0.0 μB per formula unit

Lattice parameters (Å, degrees): 5.0177 5.0177 4.3272 90.00 90.00 90.00
With the nearest neighbours (Å) after each atom.
Sites, in units of the cell vectors:
Li (0.0000, 0.0000, 0.0000)  2 H 2.16
Pm (0.0000, 0.5000, 0.5000)  2 H 2.51
Pm (0.5000, 0.0000, 0.5000)  2 H 2.51
Tl (0.5000, 0.5000, 0.0000)  8 Pm 3.31, 4 Li 3.55
H (0.0000, 0.0000, 0.5000)  2 Li 2.16

A plane-wave DFT calculation with PBE-GGA was carried out for LiPrH3 after structural relaxation.

Summary:
Energy   -3.8186 eV per atom
Total magnetic moment   0.0 μB per formula unit

Lattice parameters (Å, degrees): 4.0454 4.8053 6.3165 90.00 108.74 90.00
With the nearest neighbours (Å) after each atom.
Sites, in units of the cell vectors:
Li (0.0790, 0.2500, 0.1572)  2 H 1.78
Li (0.9210, 0.7500, 0.8428)  2 H 1.78
Pr (0.3540, 0.2500, 0.7084)  9 H 2.37-2.59
Pr (0.6460, 0.7500, 0.2916)  9 H 2.37-2.59
H (0.1842, 0.5101, 0.3679)  1 Li 1.78
H (0.1842, 0.9899, 0.3679)  1 Li 1.78
H (0.4359, 0.7500, 0.8723)  2 Li 2.03
H (0.5641, 0.2500, 0.1277)  2 Li 2.03
H (0.8158, 0.0101, 0.6321)  1 Li 1.78
H (0.8158, 0.4899, 0.6321)  1 Li 1.78

A plane-wave DFT calculation with PBE-GGA was carried out for LiPrH3 after structural relaxation.

Summary:
Energy   -3.7689 eV per atom
Total magnetic moment   0.5 μB per formula unit

Lattice parameters (Å, degrees): 3.7197 3.7197 3.7197 90.00 90.00 90.00
With the nearest neighbours (Å) after each atom.
Sites, in units of the cell vectors:
Li (0.0000, 0.0000, 0.0000)  6 H 1.86
Pr (0.5000, 0.5000, 0.5000)  12 H 2.63
H (0.0000, 0.0000, 0.5000)  2 Li 1.86
H (0.0000, 0.5000, 0.0000)  2 Li 1.86
H (0.5000, 0.0000, 0.0000)  2 Li 1.86

A plane-wave DFT calculation with PBE-GGA was carried out for LiPrH2 after structural relaxation.

Summary:
Energy   -3.6334 eV per atom
Total magnetic moment   0.0 μB per formula unit

Lattice parameters (Å, degrees): 5.8169 5.8169 5.8169 34.16 34.16 34.16
With the nearest neighbours (Å) after each atom.
Sites, in units of the cell vectors:
Li (0.0000, 0.0000, 0.0000)  6 H 2.29
Pr (0.5000, 0.5000, 0.5000)  6 H 2.53
H (0.2628, 0.2628, 0.2628)  3 Li 2.29, 3 Pr 2.53
H (0.7372, 0.7372, 0.7372)  3 Li 2.29, 3 Pr 2.53

A plane-wave DFT calculation with PBE-GGA was carried out for LiPrH after structural relaxation.

Summary:
Energy   -3.4183 eV per atom
Total magnetic moment   0.0 μB per formula unit

Lattice parameters (Å, degrees): 3.4375 3.4375 5.9026 90.00 90.00 120.00
With the nearest neighbours (Å) after each atom.
Sites, in units of the cell vectors:
Li (0.0000, 0.0000, 0.0000)  3 H 2.42
Pr (0.6667, 0.3333, 0.5276)  3 H 2.43
H (0.3333, 0.6667, 0.7660)  3 Li 2.42, 3 Pr 2.43

A plane-wave DFT calculation with PBE-GGA was carried out for Li2Pr4H after structural relaxation.

Summary:
Energy   -3.6696 eV per atom
Total magnetic moment   0.6 μB per formula unit

Lattice parameters (Å, degrees): 8.5440 8.5440 8.5440 146.31 146.31 48.39
With the nearest neighbours (Å) after each atom.
Sites, in units of the cell vectors:
Li (0.1250, 0.1250, 0.0000)  5 Pr 3.02-3.15
Li (0.8750, 0.8750, 0.0000)  5 Pr 3.02-3.15
Pr (0.0000, 0.5000, 0.5000)  2 H 2.48
Pr (0.3190, 0.3190, 0.0000)  1 H 2.82, 1 Li 3.02
Pr (0.5000, 0.0000, 0.5000)  2 H 2.48
Pr (0.6810, 0.6810, 0.0000)  1 H 2.82, 1 Li 3.02
H (0.5000, 0.5000, 0.0000)  4 Pr 2.48

A plane-wave DFT calculation with PBE-GGA was carried out for LiPrH after structural relaxation.

Summary:
Energy   -3.3815 eV per atom
Total magnetic moment   0.0 μB per formula unit

Lattice parameters (Å, degrees): 5.8387 5.8387 5.8387 145.89 145.89 49.00
With the nearest neighbours (Å) after each atom.
Sites, in units of the cell vectors:
Li (0.0000, 0.0000, 0.0000)  1 H 1.88
Pr (0.7111, 0.7111, 0.0000)  4 H 2.45
H (0.1772, 0.1772, 0.0000)  1 Li 1.88

A plane-wave DFT calculation with PBE-GGA was carried out for LiPrH after structural relaxation.

Summary:
Energy   -3.5864 eV per atom
Total magnetic moment   0.0 μB per formula unit

Lattice parameters (Å, degrees): 3.6520 3.6520 8.2792 90.00 90.00 90.00
With the nearest neighbours (Å) after each atom.
Sites, in units of the cell vectors:
Li (0.2500, 0.2500, 0.0831)  1 H 2.17
Li (0.7500, 0.7500, 0.9169)  1 H 2.17
Pr (0.2500, 0.2500, 0.6516)  5 H 2.53-2.58
Pr (0.7500, 0.7500, 0.3484)  5 H 2.53-2.58
H (0.2500, 0.2500, 0.3455)  1 Li 2.17
H (0.7500, 0.7500, 0.6545)  1 Li 2.17

A plane-wave DFT calculation with PBE-GGA was carried out for LiPrH6Pt2 after structural relaxation.

Summary:
Energy   -4.3364 eV per atom
Total magnetic moment   0.0 μB per formula unit

Lattice parameters (Å, degrees): 5.9336 5.9336 5.9336 45.07 45.07 45.07
With the nearest neighbours (Å) after each atom.
Sites, in units of the cell vectors:
Li (0.0000, 0.0000, 0.0000)  6 H 1.99
Pr (0.5000, 0.5000, 0.5000)  12 H 2.53
H (0.0577, 0.0577, 0.5908)  1 Pt 1.66
H (0.0577, 0.5908, 0.0577)  1 Pt 1.66
H (0.4092, 0.9423, 0.9423)  1 Pt 1.66
H (0.5908, 0.0577, 0.0577)  1 Pt 1.66
H (0.9423, 0.4092, 0.9423)  1 Pt 1.66
H (0.9423, 0.9423, 0.4092)  1 Pt 1.66
Pt (0.2909, 0.2909, 0.2909)  3 H 1.66
Pt (0.7091, 0.7091, 0.7091)  3 H 1.66

A plane-wave DFT calculation with PBE-GGA was carried out for LiPrH6Pt after structural relaxation.

Summary:
Energy   -4.0232 eV per atom
Total magnetic moment   0.0 μB per formula unit

Lattice parameters (Å, degrees): 4.6063 4.6063 4.4659 90.00 90.00 120.00
With the nearest neighbours (Å) after each atom.
Sites, in units of the cell vectors:
Li (0.0000, 0.0000, 0.0000)  6 H 1.85
Pr (0.6667, 0.3333, 0.5000)  12 H 2.53
H (0.1760, 0.3520, 0.2684)  1 Pt 1.74, 1 Li 1.85
H (0.1760, 0.3520, 0.7316)  1 Pt 1.74, 1 Li 1.85
H (0.1760, 0.8240, 0.2684)  1 Pt 1.74, 1 Li 1.85
H (0.1760, 0.8240, 0.7316)  1 Pt 1.74, 1 Li 1.85
H (0.6480, 0.8240, 0.2684)  1 Pt 1.74, 1 Li 1.85
H (0.6480, 0.8240, 0.7316)  1 Pt 1.74, 1 Li 1.85
Pt (0.3333, 0.6667, 0.0000)  6 H 1.74

A plane-wave DFT calculation with PBE-GGA was carried out for LiPrH8Pt2 after structural relaxation.

Summary:
Energy   -3.9930 eV per atom
Total magnetic moment   0.0 μB per formula unit

Lattice parameters (Å, degrees): 6.2232 6.2232 6.2232 45.53 45.53 45.53
With the nearest neighbours (Å) after each atom.
Sites, in units of the cell vectors:
Li (0.0000, 0.0000, 0.0000)  6 H 1.90
Pr (0.5000, 0.5000, 0.5000)  6 H 2.35
H (0.0875, 0.7007, 0.3828)  1 Pt 1.70, 1 Li 1.90
H (0.1821, 0.1821, 0.1821)  1 Pt 1.63
H (0.2993, 0.6172, 0.9125)  1 Pt 1.70, 1 Li 1.90
H (0.3828, 0.0875, 0.7007)  1 Pt 1.70, 1 Li 1.90
H (0.6172, 0.9125, 0.2993)  1 Pt 1.70, 1 Li 1.90
H (0.7007, 0.3828, 0.0875)  1 Pt 1.70, 1 Li 1.90
H (0.8179, 0.8179, 0.8179)  1 Pt 1.63
H (0.9125, 0.2993, 0.6172)  1 Pt 1.70, 1 Li 1.90
Pt (0.2799, 0.2799, 0.2799)  4 H 1.63-1.70
Pt (0.7201, 0.7201, 0.7201)  4 H 1.63-1.70

A plane-wave DFT calculation with PBE-GGA was carried out for LiPr2H6Rh2 after structural relaxation.

Summary:
Energy   -4.6441 eV per atom
Total magnetic moment   0.0 μB per formula unit

Lattice parameters (Å, degrees): 6.7668 6.7668 6.7668 42.51 42.51 42.51
With the nearest neighbours (Å) after each atom.
Sites, in units of the cell vectors:
Li (0.0000, 0.0000, 0.0000)  6 H 2.25
Pr (0.2263, 0.2263, 0.2263)  6 H 2.46
Pr (0.7737, 0.7737, 0.7737)  6 H 2.46
H (0.2294, 0.7411, 0.7411)  1 Rh 1.73
H (0.2589, 0.2589, 0.7706)  1 Rh 1.73
H (0.2589, 0.7706, 0.2589)  1 Rh 1.73
H (0.7411, 0.2294, 0.7411)  1 Rh 1.73
H (0.7411, 0.7411, 0.2294)  1 Rh 1.73
H (0.7706, 0.2589, 0.2589)  1 Rh 1.73
Rh (0.3786, 0.3786, 0.3786)  3 H 1.73
Rh (0.6214, 0.6214, 0.6214)  3 H 1.73

A plane-wave DFT calculation with PBE-GGA was carried out for LiPrH6Rh after structural relaxation.

Summary:
Energy   -4.2132 eV per atom
Total magnetic moment   0.0 μB per formula unit

Lattice parameters (Å, degrees): 4.5876 4.5876 4.4441 90.00 90.00 120.00
With the nearest neighbours (Å) after each atom.
Sites, in units of the cell vectors:
Li (0.0000, 0.0000, 0.0000)  6 H 1.83
Pr (0.6667, 0.3333, 0.5000)  12 H 2.53
H (0.1782, 0.3565, 0.2624)  1 Rh 1.70, 1 Li 1.83
H (0.1782, 0.3565, 0.7376)  1 Rh 1.70, 1 Li 1.83
H (0.1782, 0.8218, 0.2624)  1 Rh 1.70, 1 Li 1.83
H (0.1782, 0.8218, 0.7376)  1 Rh 1.70, 1 Li 1.83
H (0.6435, 0.8218, 0.2624)  1 Rh 1.70, 1 Li 1.83
H (0.6435, 0.8218, 0.7376)  1 Rh 1.70, 1 Li 1.83
Rh (0.3333, 0.6667, 0.0000)  6 H 1.70

A plane-wave DFT calculation with PBE-GGA was carried out for LiPr2H6Rh after structural relaxation.

Summary:
Energy   -4.3205 eV per atom
Total magnetic moment   0.0 μB per formula unit

Lattice parameters (Å, degrees): 5.1501 5.1501 4.7645 90.00 90.00 120.00
With the nearest neighbours (Å) after each atom.
Sites, in units of the cell vectors:
Li (0.0000, 0.0000, 0.0000)  6 H 1.93
Pr (0.3333, 0.6667, 0.7518)  12 H 2.58-2.88
Pr (0.6667, 0.3333, 0.2482)  12 H 2.58-2.88
H (0.1636, 0.3272, 0.2663)  1 Rh 1.84, 1 Li 1.93
H (0.1636, 0.8364, 0.2663)  1 Rh 1.84, 1 Li 1.93
H (0.3272, 0.1636, 0.7337)  1 Rh 1.84, 1 Li 1.93
H (0.6728, 0.8364, 0.2663)  1 Rh 1.84, 1 Li 1.93
H (0.8364, 0.1636, 0.7337)  1 Rh 1.84, 1 Li 1.93
H (0.8364, 0.6728, 0.7337)  1 Rh 1.84, 1 Li 1.93
Rh (0.0000, 0.0000, 0.5000)  6 H 1.84